Record 1
Here is Ni2TeOs after structural relaxation from the Alexandria database. Energies are from PBE.

Cell and atoms, written as CIF:
```
data_Ni2TeOs
_cell_length_a 6.0177
_cell_length_b 6.0177
_cell_length_c 8.7651
_cell_angle_alpha 90.00
_cell_angle_beta 90.00
_cell_angle_gamma 90.00
_symmetry_space_group_name_H-M 'I -4 2 d'
_symmetry_Int_Tables_number 122
_symmetry_space_group_name_Hall 'I -4 2bw'
loop_
_atom_site_label
_atom_site_fract_x
_atom_site_fract_y
_atom_site_fract_z
Ni1 0.2216 0.2500 0.1250
Te1 0.0000 0.0000 0.5000
Os1 0.0000 0.0000 0.0000
```

For the density of states at the Fermi level, the calculation gives 4.7 states/eV per cell. The calculation puts the density at 9.11 Mg/m³. The value obtained for the energy is -5.60 eV per atom. The calculation puts the energy relative to the elements, uncorrected at 86 kJ/mol of atoms.

---

Record 2
Here is Tb2TmCu2 after structural relaxation from the Alexandria database. Energies are from PBE.

Cell and atoms, written as CIF:
```
data_Tb2TmCu2
_cell_length_a 11.4928
_cell_length_b 4.6330
_cell_length_c 10.0430
_cell_angle_alpha 90.00
_cell_angle_beta 119.85
_cell_angle_gamma 90.00
_symmetry_space_group_name_H-M 'C 1 2/m 1'
_symmetry_Int_Tables_number 12
loop_
_symmetry_equiv_pos_as_xyz
'x,y,z'
'-x,-y,-z'
'-x,y,-z'
'x,-y,z'
'x+1/2,y+1/2,z'
'-x+1/2,-y+1/2,-z'
'-x+1/2,y+1/2,-z'
'x+1/2,-y+1/2,z'
loop_
_atom_site_label
_atom_site_fract_x
_atom_site_fract_y
_atom_site_fract_z
Tb1 0.0370 0.0000 0.1916
Tb2 0.1811 0.0000 0.5911
Tm1 0.1924 0.5000 0.8526
Cu1 0.0527 0.5000 0.4128
Cu2 0.1253 0.5000 0.0763
```

For the formation energy, the calculation gives -0.146 eV per atom. For the density of states at the Fermi level, the calculation gives 16.9 states/eV per cell. The calculation puts the density at 8.79 Mg/m³. The value obtained for the energy is -4.53 eV per atom.

---

Record 3
Here is KZr2IrO8 after structural relaxation from the Alexandria database. Energies are from PBE.

Cell and atoms, written as CIF:
```
data_KZr2IrO8
_cell_length_a 4.8441
_cell_length_b 6.8171
_cell_length_c 5.0263
_cell_angle_alpha 90.00
_cell_angle_beta 92.90
_cell_angle_gamma 90.00
_symmetry_space_group_name_H-M 'P 1 2/m 1'
_symmetry_Int_Tables_number 10
loop_
_symmetry_equiv_pos_as_xyz
'x,y,z'
'-x,-y,-z'
'-x,y,-z'
'x,-y,z'
loop_
_atom_site_label
_atom_site_fract_x
_atom_site_fract_y
_atom_site_fract_z
K1 0.0000 0.0000 0.0000
Zr1 0.5000 0.2371 0.5000
Ir1 0.0000 0.5000 0.0000
O1 0.2201 0.3087 0.1873
O2 0.2636 0.5000 0.7112
O3 0.2994 0.0000 0.6398
```

For the density of states at the Fermi level, the calculation gives 5.7 states/eV per cell. The calculation puts the density at 5.43 Mg/m³. The value obtained for the energy is -7.46 eV per atom. The calculation puts the energy relative to the elements, uncorrected at -183 kJ/mol of atoms.

---

Record 4
Here is TaZnCu after structural relaxation from the Alexandria database. Energies are from PBE.

Cell and atoms, written as CIF:
```
data_TaZnCu
_cell_length_a 4.1336
_cell_length_b 4.1336
_cell_length_c 19.0850
_cell_angle_alpha 90.00
_cell_angle_beta 90.00
_cell_angle_gamma 120.00
_symmetry_space_group_name_H-M 'R -3 m'
_symmetry_Int_Tables_number 166
_symmetry_space_group_name_Hall '-R 3 2"'
loop_
_atom_site_label
_atom_site_fract_x
_atom_site_fract_y
_atom_site_fract_z
Ta1 0.0000 0.0000 0.2089
Zn1 0.0000 0.0000 0.3667
Cu1 0.0000 0.0000 0.0650
```

For the formation energy, the calculation gives 0.284 eV per atom. For the density of states at the Fermi level, the calculation gives 11.0 states/eV per cell. The calculation puts the density at 10.93 Mg/m³. The value obtained for the energy is -5.46 eV per atom.